## CaHo2Hg5 (PBE-GGA)

Data for a geometry-optimized CaHo2Hg5 structure.

Calculated values
Calculated density, g cm⁻³: 11.3
E_form, eV/f.u.: -3.302

The structure in POSCAR format:
```
CaHo2Hg5
1.0
-2.612 2.612 7.370
2.612 -2.612 7.370
2.612 2.612 -7.370
Ca Ho Hg
1 2 5
direct
0.000 0.000 0.000
0.265 0.265 0.000
0.735 0.735 0.000
0.129 0.629 0.500
0.371 0.871 0.500
0.500 0.500 0.000
0.629 0.129 0.500
0.871 0.371 0.500
```